1.
Compound: ScReSb2
Source: the Alexandria database
Functional: PBE
Structure: relaxed

Cell and atoms, written as extended XYZ:
```
4
Lattice="-0.108 1.948 2.856 -2.929 -1.569 0.959 3.856 -5.017 3.568" Properties=species:S:1:pos:R:3 pbc="T T T"
Re 1.313 -3.495 4.528
Sb 3.602 -4.687 3.334
Sb -0.333 -1.353 3.005
Sc 2.020 -2.628 1.870
```

Properties
As for the offset from the most stable computed form: 0.000 eV/atom. The calculation puts the volume at 21.72 Å³ per atom. As for the formation energy from raw total energies: -0.42 eV per formula unit. Its space group is No. 99. The final energy comes out at -6.861 eV/atom. The calculation puts the total magnetic moment at 0.0 μB per formula unit.


2.
Compound: ScReSb2
Source: the Alexandria database
Functional: PBE
Structure: relaxed

Cell and atoms, written as extended XYZ:
```
4
Lattice="-0.988 6.370 7.477 -4.149 5.740 6.876 -2.418 3.738 8.811" Properties=species:S:1:pos:R:3 pbc="T T T"
Re -5.683 11.920 17.423
Sb -0.131 0.275 0.402
Sb -1.816 3.808 5.566
Sc -3.704 7.768 11.354
```

Properties
As for the offset from the most stable computed form: 0.198 eV/atom. The calculation puts the volume at 22.55 Å³ per atom. As for the formation energy from raw total energies: 0.37 eV per formula unit. Its space group is No. 160. The final energy comes out at -6.663 eV/atom. The calculation puts the total magnetic moment at 0.0 μB per formula unit.


3.
Compound: ScReSb2
Source: the Alexandria database
Functional: PBE
Structure: relaxed

Cell and atoms, written as extended XYZ:
```
4
Lattice="4.833 0.000 0.000 0.000 4.834 0.000 0.000 0.000 3.387" Properties=species:S:1:pos:R:3 pbc="T T T"
Re 0.000 2.417 1.694
Sb 0.000 0.000 0.000
Sb 2.416 2.417 0.000
Sc 2.416 0.000 1.694
```

Properties
As for the offset from the most stable computed form: 0.184 eV/atom. The calculation puts the volume at 19.78 Å³ per atom. As for the formation energy from raw total energies: 0.32 eV per formula unit. Its space group is No. 123. The final energy comes out at -6.677 eV/atom. The calculation puts the total magnetic moment at 0.0 μB per formula unit.


4.
Compound: ScReSb2
Source: the Alexandria database
Functional: PBE
Structure: relaxed

Cell and atoms, written as extended XYZ:
```
4
Lattice="4.481 -0.001 0.001 3.173 3.164 0.001 1.176 0.486 5.981" Properties=species:S:1:pos:R:3 pbc="T T T"
Re 6.623 2.737 4.487
Sb 1.215 0.502 5.793
Sb 4.376 1.808 3.179
Sc 2.208 0.912 1.496
```

Properties
As for the offset from the most stable computed form: 0.116 eV/atom. The calculation puts the volume at 21.21 Å³ per atom. As for the formation energy from raw total energies: 0.05 eV per formula unit. Its space group is No. 12. The final energy comes out at -6.745 eV/atom. The calculation puts the total magnetic moment at 0.0 μB per formula unit.


Which of these has the highest offset from the most stable computed form? number 2


The lowest final energy belongs to which entry? number 1